(1)
Material: HfNbMo6
Method: DFT, PBE
State: relaxed

```
HfNbMo6
1.0
-3.131 -2.873 1.574
-2.131 -0.487 -5.129
3.934 -3.880 0.743
Hf Nb Mo
1 1 6
Cartesian
3.176 -3.456 0.009
0.097 -4.046 -0.669
1.203 -1.502 -0.349
2.116 -3.713 -2.569
0.142 -1.758 -2.928
-1.859 -2.137 -1.075
-0.983 -4.256 -3.204
-2.940 -2.347 -3.610
```

Energy (eV per atom): -10.712
DFT formation energy (kJ/mol of atoms): -8
DOS(E_F) (states/eV/cell): 4.76
Symmetry: No. 38

(2)
Material: ZrAl8Fe4
Method: DFT, PBE
State: relaxed

```
ZrAl8Fe4
1.0
-2.758 4.344 -4.073
-2.126 -3.812 4.901
3.599 4.185 3.550
Al Fe Zr
8 4 1
Cartesian
0.976 0.247 5.601
0.497 0.126 2.850
0.557 5.653 -0.346
0.284 2.877 -0.176
-2.122 0.347 2.247
0.837 4.370 2.131
-2.259 2.116 0.300
0.974 2.601 4.078
1.799 2.092 1.775
-0.642 2.359 2.189
-1.063 -1.906 2.450
-1.379 2.172 -2.037
0.000 0.000 0.000
```

Energy (eV per atom): -5.994
DFT formation energy (kJ/mol of atoms): -41
DOS(E_F) (states/eV/cell): 6.74
Symmetry: No. 139

(3)
Material: Ba5Hg2
Method: DFT, PBE
State: relaxed

```
Ba5Hg2
1.0
8.043 0.000 0.000
0.000 8.708 0.004
-4.022 -1.330 9.907
Ba Hg
10 4
Cartesian
0.902 3.479 1.841
-3.119 -0.455 8.068
-0.565 5.249 5.588
3.456 6.483 4.326
4.587 2.129 4.323
0.565 0.895 5.586
7.141 7.832 1.843
3.119 3.899 8.070
4.582 2.177 0.001
3.461 6.531 0.003
-1.666 2.683 7.730
2.355 0.341 2.179
5.688 4.695 2.181
1.666 7.037 7.732
```

Energy (eV per atom): -1.747
DFT formation energy (kJ/mol of atoms): -28
DOS(E_F) (states/eV/cell): 24.53
Symmetry: No. 15